# 1
This record from the Alexandria database describes YS2Cl4 after structural relaxation. The functional is PBE.

**Symmetry**: P-1 (2)
**Mass density**: 1.90 g/cm3
**Total moment**: 1.000 μB/f.u.
**Energy relative to the elements, uncorrected**: -1.20 eV/atom

a = 7.884 Å, b = 4.029 Å, c = 13.753 Å
α = 110.17°, β = 124.40°, γ = 107.83°
Each line ends with the local moment (μB).
Atoms (fractional coordinates):
S1 0.159 0.307 0.589  -0.29
S2 0.841 0.693 0.411  -0.29
Cl1 0.867 0.199 0.814  0.00
Cl2 0.133 0.801 0.186  0.00
Cl3 0.494 0.469 0.139  -0.01
Cl4 0.506 0.531 0.861  -0.01
Y1 0.000 0.000 0.000  0.00

# 2
This record from the Alexandria database describes YSCl after structural relaxation. The functional is PBE.

**Symmetry**: F-43m (216)
**Mass density**: 3.62 g/cm3
**Total moment**: 0.000 μB/f.u.
**Energy relative to the elements, uncorrected**: -2.02 eV/atom

a = 4.662 Å, b = 4.662 Å, c = 4.662 Å
α = 60.00°, β = 60.00°, γ = 60.00°
Atoms (fractional coordinates):
Y1 0.250 0.250 0.250
Cl1 0.000 0.000 0.000
S1 0.500 0.500 0.500

# 3
This record from the Alexandria database describes YSCl3 after structural relaxation. The functional is PBE.

**Symmetry**: Pm-3m (221)
**Mass density**: 2.52 g/cm3
**Offset from the most stable computed form**: 527 meV/atom
**Total moment**: 2.000 μB/f.u.
**Energy relative to the elements, uncorrected**: -1.15 eV/atom

a = 5.308 Å, b = 5.308 Å, c = 5.308 Å
α = 90.00°, β = 90.00°, γ = 90.00°
Each line ends with the local moment (μB).
Atoms (fractional coordinates):
Cl1 0.000 0.000 0.500  0.05
Cl2 0.500 0.000 0.000  0.04
Cl3 0.000 0.500 0.000  0.03
Y1 0.000 0.000 0.000  0.00
S1 0.500 0.500 0.500  1.10

# 4
This record from the Alexandria database describes YSCl after structural relaxation. The functional is PBE.

**Symmetry**: C2/m (12)
**Mass density**: 2.76 g/cm3
**Total moment**: 0.000 μB/f.u.
**Energy relative to the elements, uncorrected**: -2.10 eV/atom

a = 4.041 Å, b = 7.051 Å, c = 7.662 Å
α = 115.60°, β = 105.29°, γ = 90.00°
Atoms (fractional coordinates):
Cl1 0.354 0.680 0.709
Cl2 0.646 0.320 0.291
Y1 0.743 0.767 0.486
Y2 0.257 0.233 0.514
S1 0.140 0.817 0.281
S2 0.860 0.183 0.719

# 5
This record from the Alexandria database describes YS5Cl after structural relaxation. The functional is PBE.

**Symmetry**: P1 (1)
**Mass density**: 2.26 g/cm3
**Total moment**: 0.000 μB/f.u.
**Energy relative to the elements, uncorrected**: -0.75 eV/atom

a = 4.235 Å, b = 4.562 Å, c = 11.899 Å
α = 111.76°, β = 100.37°, γ = 89.72°
Atoms (fractional coordinates):
S1 0.258 0.970 0.212
S2 0.188 0.510 0.077
S3 0.937 0.242 0.144
S4 0.345 0.657 0.776
S5 0.323 0.146 0.728
Cl1 0.706 0.677 0.492
Y1 0.775 0.329 0.633

# 6
This record from the Alexandria database describes Y2SCl2 after structural relaxation. The functional is PBE.

**Symmetry**: C2/m (12)
**Mass density**: 3.37 g/cm3
**Total moment**: 0.000 μB/f.u.
**Energy relative to the elements, uncorrected**: -2.05 eV/atom

a = 3.917 Å, b = 3.915 Å, c = 10.633 Å
α = 80.56°, β = 79.39°, γ = 59.99°
Atoms (fractional coordinates):
Y1 0.719 0.204 0.359
Y2 0.281 0.796 0.641
Cl1 0.445 0.912 0.199
Cl2 0.555 0.088 0.801
S1 0.000 0.500 0.500

# 7
This record from the Alexandria database describes YSCl after structural relaxation. The functional is PBE.

**Symmetry**: P3m1 (156)
**Mass density**: 2.82 g/cm3
**Total moment**: 0.000 μB/f.u.
**Energy relative to the elements, uncorrected**: -2.10 eV/atom

a = 4.036 Å, b = 4.036 Å, c = 6.526 Å
α = 90.00°, β = 90.00°, γ = 120.00°
Atoms (fractional coordinates):
S1 0.000 0.000 0.123
Y1 0.667 0.333 0.314
Cl1 0.333 0.667 0.563

# 8
This record from the Alexandria database describes Y2S2Cl after structural relaxation. The functional is PBE.

**Symmetry**: C2/m (12)
**Mass density**: 3.61 g/cm3
**Total moment**: 0.000 μB/f.u.
**Energy relative to the elements, uncorrected**: -2.07 eV/atom

a = 5.447 Å, b = 6.801 Å, c = 7.994 Å
α = 108.10°, β = 90.00°, γ = 113.60°
Atoms (fractional coordinates):
Cl1 0.657 0.314 0.094
Cl2 0.343 0.686 0.906
S1 0.008 0.015 0.746
S2 0.333 0.666 0.420
S3 0.992 0.985 0.254
S4 0.667 0.334 0.580
Y1 0.491 0.983 0.255
Y2 0.836 0.672 0.426
Y3 0.164 0.328 0.574
Y4 0.509 0.017 0.745

# 9
This record from the Alexandria database describes YSCl after structural relaxation. The functional is PBE.

**Symmetry**: I4mm (107)
**Mass density**: 3.23 g/cm3
**Total moment**: 0.000 μB/f.u.
**Energy relative to the elements, uncorrected**: -1.80 eV/atom

a = 3.467 Å, b = 3.467 Å, c = 7.128 Å
α = 104.08°, β = 104.08°, γ = 90.00°
Atoms (fractional coordinates):
Y1 0.653 0.653 0.306
Cl1 0.290 0.290 0.579
S1 0.058 0.058 0.115

# 10
This record from the Alexandria database describes YSCl3 after structural relaxation. The functional is PBE.

**Symmetry**: Pm-3m (221)
**Mass density**: 3.02 g/cm3
**Offset from the most stable computed form**: 1571 meV/atom
**Total moment**: 0.000 μB/f.u.
**Energy relative to the elements, uncorrected**: -0.11 eV/atom

a = 4.997 Å, b = 4.997 Å, c = 4.997 Å
α = 90.00°, β = 90.00°, γ = 90.00°
Atoms (fractional coordinates):
Cl1 0.500 0.000 0.000
Cl2 0.000 0.500 0.000
Cl3 0.000 0.000 0.500
S1 0.000 0.000 0.000
Y1 0.500 0.500 0.500

# 11
This record from the Alexandria database describes YSCl3 after structural relaxation. The functional is PBE.

**Symmetry**: C2/m (12)
**Mass density**: 2.33 g/cm3
**Offset from the most stable computed form**: 0 meV/atom
**Total moment**: 1.000 μB/f.u.
**Energy relative to the elements, uncorrected**: -1.68 eV/atom

a = 7.328 Å, b = 7.329 Å, c = 12.675 Å
α = 72.31°, β = 90.00°, γ = 90.00°
Each line ends with the local moment (μB).
Atoms (fractional coordinates):
S1 0.250 0.186 0.695  0.56
S2 0.250 0.314 0.805  0.56
S3 0.750 0.814 0.305  0.56
S4 0.750 0.686 0.195  0.56
Y1 0.750 0.419 0.582  0.00
Y2 0.250 0.581 0.418  0.00
Y3 0.250 0.919 0.082  0.00
Y4 0.750 0.081 0.918  0.00
Cl1 0.490 0.685 0.551  0.01
Cl2 0.010 0.685 0.551  0.01
Cl3 0.990 0.315 0.449  0.01
Cl4 0.750 0.444 0.791  0.01
Cl5 0.010 0.815 0.949  0.01
Cl6 0.510 0.185 0.051  0.01
Cl7 0.750 0.056 0.709  0.01
Cl8 0.990 0.185 0.051  0.01
Cl9 0.250 0.556 0.209  0.01
Cl10 0.250 0.944 0.291  0.01
Cl11 0.510 0.315 0.449  0.01
Cl12 0.490 0.815 0.949  0.01

# 12
This record from the Alexandria database describes YZnS2Cl after structural relaxation. The functional is PBE.

**Symmetry**: P4/mmm (123)
**Mass density**: 2.90 g/cm3
**Offset from the most stable computed form**: 175 meV/atom
**Total moment**: 0.000 μB/f.u.
**Energy relative to the elements, uncorrected**: -0.68 eV/atom

a = 5.307 Å, b = 5.307 Å, c = 5.168 Å
α = 90.00°, β = 90.00°, γ = 90.00°
Atoms (fractional coordinates):
Y1 0.000 0.000 0.000
Zn1 0.500 0.500 0.500
S1 0.000 0.500 0.000
S2 0.500 0.000 0.000
Cl1 0.000 0.000 0.500

# 13
This record from the Alexandria database describes YZnS2Cl after structural relaxation. The functional is PBE.

**Symmetry**: P4/mmm (123)
**Mass density**: 4.01 g/cm3
**Offset from the most stable computed form**: 0 meV/atom
**Total moment**: 0.000 μB/f.u.
**Energy relative to the elements, uncorrected**: -0.86 eV/atom

a = 4.798 Å, b = 4.798 Å, c = 4.569 Å
α = 90.00°, β = 90.00°, γ = 90.00°
Atoms (fractional coordinates):
Zn1 0.000 0.000 0.000
Y1 0.500 0.500 0.500
S1 0.000 0.500 0.000
S2 0.500 0.000 0.000
Cl1 0.000 0.000 0.500

# 14
This record from the Alexandria database describes YZnSCl2 after structural relaxation. The functional is PBE.

**Symmetry**: P4/mmm (123)
**Mass density**: 2.89 g/cm3
**Offset from the most stable computed form**: 0 meV/atom
**Total moment**: 0.000 μB/f.u.
**Energy relative to the elements, uncorrected**: -1.14 eV/atom

a = 5.229 Å, b = 5.229 Å, c = 5.410 Å
α = 90.00°, β = 90.00°, γ = 90.00°
Atoms (fractional coordinates):
Zn1 0.500 0.500 0.500
Y1 0.000 0.000 0.000
S1 0.000 0.000 0.500
Cl1 0.000 0.500 0.000
Cl2 0.500 0.000 0.000

# 15
This record from the Alexandria database describes YZnSCl2 after structural relaxation. The functional is PBE.

**Symmetry**: P4/mmm (123)
**Mass density**: 3.91 g/cm3
**Offset from the most stable computed form**: 304 meV/atom
**Total moment**: 0.595 μB/f.u.
**Energy relative to the elements, uncorrected**: -0.83 eV/atom

a = 4.715 Å, b = 4.715 Å, c = 4.921 Å
α = 90.00°, β = 90.00°, γ = 90.00°
Each line ends with the local moment (μB).
Atoms (fractional coordinates):
Zn1 0.000 0.000 0.000  0.01
Y1 0.500 0.500 0.500  0.35
Cl1 0.500 0.000 0.000  0.00
Cl2 0.000 0.500 0.000  0.00
S1 0.000 0.000 0.500  -0.01

# 16
This record from the Alexandria database describes ZnS2Cl after structural relaxation. The functional is PBE.

**Symmetry**: I-42d (122)
**Mass density**: 2.87 g/cm3
**Offset from the most stable computed form**: 335 meV/atom
**Total moment**: 0.000 μB/f.u.
**Energy relative to the elements, uncorrected**: 0.29 eV/atom

a = 6.240 Å, b = 6.240 Å, c = 6.596 Å
α = 61.77°, β = 61.77°, γ = 90.00°
Atoms (fractional coordinates):
S1 0.684 0.125 0.250
S2 0.375 0.316 0.750
S3 0.875 0.934 0.750
S4 0.066 0.625 0.250
Cl1 0.500 0.500 0.000
Cl2 0.250 0.750 0.500
Zn1 0.000 0.000 0.000
Zn2 0.750 0.250 0.500

# 17
This record from the Alexandria database describes ZnS2Cl after structural relaxation. The functional is PBE.

**Symmetry**: Fm-3m (225)
**Mass density**: 3.96 g/cm3
**Offset from the most stable computed form**: 727 meV/atom
**Total moment**: 0.000 μB/f.u.
**Energy relative to the elements, uncorrected**: 0.68 eV/atom

a = 4.609 Å, b = 4.609 Å, c = 4.609 Å
α = 60.00°, β = 60.00°, γ = 60.00°
Atoms (fractional coordinates):
S1 0.750 0.750 0.750
S2 0.250 0.250 0.250
Cl1 0.000 0.000 0.000
Zn1 0.500 0.500 0.500

# 18
This record from the Alexandria database describes ZnS2Cl after structural relaxation. The functional is PBE.

**Symmetry**: R-3m (166)
**Mass density**: 3.19 g/cm3
**Offset from the most stable computed form**: 0 meV/atom
**Total moment**: 0.007 μB/f.u.
**Energy relative to the elements, uncorrected**: -0.05 eV/atom

a = 7.461 Å, b = 7.461 Å, c = 7.461 Å
α = 28.92°, β = 28.92°, γ = 28.92°
Atoms (fractional coordinates):
Cl1 0.000 0.000 0.000
Zn1 0.500 0.500 0.500
S1 0.892 0.892 0.892
S2 0.108 0.108 0.108

# 19
This record from the Alexandria database describes ZnS3Cl3 after structural relaxation. The functional is PBE.

**Symmetry**: P-1 (2)
**Mass density**: 1.93 g/cm3
**Total moment**: 1.002 μB/f.u.
**Energy relative to the elements, uncorrected**: -0.31 eV/atom

a = 8.966 Å, b = 8.996 Å, c = 8.950 Å
α = 55.91°, β = 55.99°, γ = 55.83°
Each line ends with the local moment (μB).
Atoms (fractional coordinates):
S1 0.230 0.961 0.014  0.21
S2 0.039 0.987 0.769  0.21
S3 0.961 0.013 0.231  0.21
S4 0.013 0.231 0.961  0.22
S5 0.987 0.769 0.039  0.22
S6 0.770 0.039 0.986  0.21
Zn1 0.749 0.749 0.749  0.00
Zn2 0.251 0.251 0.251  0.00
Cl1 0.455 0.955 0.338  0.01
Cl2 0.045 0.662 0.544  0.01
Cl3 0.338 0.456 0.955  0.01
Cl4 0.662 0.544 0.045  0.01
Cl5 0.955 0.338 0.456  0.01
Cl6 0.545 0.045 0.662  0.01

# 20
This record from the Alexandria database describes ZnS8Cl2 after structural relaxation. The functional is PBE.

**Symmetry**: C2/m (12)
**Mass density**: 1.93 g/cm3
**Total moment**: 0.000 μB/f.u.
**Energy relative to the elements, uncorrected**: 0.08 eV/atom

a = 9.162 Å, b = 8.537 Å, c = 8.537 Å
α = 42.22°, β = 127.72°, γ = 127.72°
Atoms (fractional coordinates):
S1 0.843 0.337 0.337
S2 0.062 0.160 0.637
S3 0.285 0.487 0.487
S4 0.938 0.363 0.840
S5 0.062 0.637 0.160
S6 0.157 0.663 0.663
S7 0.715 0.513 0.513
S8 0.938 0.840 0.363
Zn1 0.000 0.000 0.000
Cl1 0.716 0.812 0.812
Cl2 0.284 0.188 0.188

# 21
This record from the Alexandria database describes ZnS5Cl after structural relaxation. The functional is PBE.

**Symmetry**: C2 (5)
**Mass density**: 1.93 g/cm3
**Total moment**: 0.000 μB/f.u.
**Energy relative to the elements, uncorrected**: -0.17 eV/atom

a = 5.006 Å, b = 4.192 Å, c = 12.214 Å
α = 104.45°, β = 105.68°, γ = 67.63°
Atoms (fractional coordinates):
S1 0.212 0.147 0.104
S2 0.497 0.522 0.754
S3 0.108 0.608 0.217
S4 0.257 0.232 0.754
S5 0.891 0.957 0.104
Cl1 0.758 0.758 0.516
Zn1 0.807 0.307 0.614

# 22
This record from the Alexandria database describes ZnS4Cl after structural relaxation. The functional is PBE.

**Symmetry**: P-1 (2)
**Mass density**: 2.23 g/cm3
**Total moment**: 0.000 μB/f.u.
**Energy relative to the elements, uncorrected**: -0.12 eV/atom

a = 10.017 Å, b = 10.943 Å, c = 5.391 Å
α = 56.83°, β = 101.67°, γ = 133.82°
Atoms (fractional coordinates):
Cl1 0.081 0.250 0.975
Cl2 0.919 0.750 0.025
S1 0.700 0.599 0.820
S2 0.347 0.831 0.308
S3 0.883 0.304 0.376
S4 0.404 0.288 0.363
S5 0.653 0.169 0.692
S6 0.117 0.696 0.624
S7 0.300 0.401 0.180
S8 0.596 0.712 0.637
Zn1 0.851 0.328 0.918
Zn2 0.149 0.672 0.082

# 23
This record from the Alexandria database describes ZnS2Cl after structural relaxation. The functional is PBE.

**Symmetry**: R-3m (166)
**Mass density**: 3.38 g/cm3
**Offset from the most stable computed form**: 550 meV/atom
**Total moment**: 0.000 μB/f.u.
**Energy relative to the elements, uncorrected**: 0.50 eV/atom

a = 10.659 Å, b = 10.659 Å, c = 10.659 Å
α = 16.10°, β = 16.10°, γ = 16.10°
Atoms (fractional coordinates):
S1 0.931 0.931 0.931
S2 0.069 0.069 0.069
Zn1 0.000 0.000 0.000
Cl1 0.500 0.500 0.500

# 24
This record from the Alexandria database describes ZrZnS2Cl after structural relaxation. The functional is PBE.

**Symmetry**: P4/mmm (123)
**Mass density**: 4.20 g/cm3
**Offset from the most stable computed form**: 521 meV/atom
**Total moment**: 1.042 μB/f.u.
**Energy relative to the elements, uncorrected**: -0.17 eV/atom

a = 4.731 Å, b = 4.731 Å, c = 4.522 Å
α = 90.00°, β = 90.00°, γ = 90.00°
Each line ends with the local moment (μB).
Atoms (fractional coordinates):
S1 0.000 0.500 0.000  -0.06
S2 0.500 0.000 0.000  -0.06
Zr1 0.500 0.500 0.500  0.87
Zn1 0.000 0.000 0.000  0.01
Cl1 0.000 0.000 0.500  -0.03

# 25
This record from the Alexandria database describes ZrZnS2Cl after structural relaxation. The functional is PBE.

**Symmetry**: P4/mmm (123)
**Mass density**: 3.35 g/cm3
**Offset from the most stable computed form**: 0 meV/atom
**Total moment**: 0.000 μB/f.u.
**Energy relative to the elements, uncorrected**: -0.69 eV/atom

a = 5.008 Å, b = 5.008 Å, c = 5.066 Å
α = 90.00°, β = 90.00°, γ = 90.00°
Atoms (fractional coordinates):
Zr1 0.000 0.000 0.000
Zn1 0.500 0.500 0.500
S1 0.000 0.500 0.000
S2 0.500 0.000 0.000
Cl1 0.000 0.000 0.500

# 26
This record from the Alexandria database describes ZrSCl3 after structural relaxation. The functional is PBE.

**Symmetry**: Pm-3m (221)
**Mass density**: 3.09 g/cm3
**Offset from the most stable computed form**: 1951 meV/atom
**Total moment**: 2.415 μB/f.u.
**Energy relative to the elements, uncorrected**: 0.42 eV/atom

a = 4.980 Å, b = 4.980 Å, c = 4.980 Å
α = 90.00°, β = 90.00°, γ = 90.00°
Each line ends with the local moment (μB).
Atoms (fractional coordinates):
S1 0.000 0.000 0.000  0.03
Cl1 0.000 0.000 0.500  0.00
Cl2 0.500 0.000 0.000  0.00
Cl3 0.000 0.500 0.000  0.00
Zr1 0.500 0.500 0.500  1.65